This record from Alexandria describes SrOs3F after structural relaxation. The functional is PBE.

Unit cell a=4.442 b=4.442 c=4.442 alpha=90.00 beta=90.00 gamma=90.00
Site moments in Bohr magnetons follow the coordinates.
Atoms (fractional coordinates):
Os1 0.500 0.000 0.000  0.14
Os2 0.000 0.500 0.000  0.23
Os3 0.000 0.000 0.500  0.17
Sr1 0.500 0.500 0.500  0.00
F1 0.000 0.000 0.000  0.00

Spin magnetization = 0.58 μB/f.u.
ΔE to the lowest computed polymorph = 0.000 eV per atom
Space group = Pm-3m (221)
D(E_F) = 8.3 states/eV per cell
ρ = 12830 kg/m³